No. 1
Density functional theory data (PBE-GGA) for Ni4PtRh after structural relaxation.

Fermi-level density of states, states/eV/cell: 9.4
VASP energy, eV for the cell shown: -36.5
Calculated volume, Å³ per atom: 12.46
Energy of formation from the pure elements, eV/atom: 0.004

CIF file:
```
data_Ni4PtRh
_chemical_formula_sum 'Ni4 Pt1 Rh1'
_symmetry_space_group_name_H-M 'P 4/m m m'
_symmetry_Int_Tables_number 123
_symmetry_space_group_name_Hall '-P 4 2'
_cell_length_a 2.648
_cell_length_b 2.648
_cell_length_c 10.663
_cell_angle_alpha 90.00
_cell_angle_beta 90.00
_cell_angle_gamma 90.00
loop_
_atom_site_label
_atom_site_type_symbol
_atom_site_fract_x
_atom_site_fract_y
_atom_site_fract_z
_atom_site_occupancy
Ni1 Ni 0.000 0.000 0.170 1
Ni2 Ni 0.500 0.500 0.324 1
Pt1 Pt 0.000 0.000 0.500 1
Rh1 Rh 0.500 0.500 0.000 1
```

=====

No. 2
Density functional theory data (PBE-GGA) for Ni6PtRh5 after structural relaxation.

Fermi-level density of states, states/eV/cell: 42.6
VASP energy, eV for the cell shown: -154.3
Calculated volume, Å³ per atom: 12.76
Energy of formation from the pure elements, eV/atom: 0.027

CIF file:
```
data_Ni6PtRh5
_chemical_formula_sum 'Ni12 Pt2 Rh10'
_symmetry_space_group_name_H-M 'I m m m'
_symmetry_Int_Tables_number 71
_symmetry_space_group_name_Hall '-I 2 2'
_cell_length_a 3.784
_cell_length_b 7.125
_cell_length_c 11.354
_cell_angle_alpha 90.00
_cell_angle_beta 90.00
_cell_angle_gamma 90.00
loop_
_atom_site_label
_atom_site_type_symbol
_atom_site_fract_x
_atom_site_fract_y
_atom_site_fract_z
_atom_site_occupancy
Ni1 Ni 0.000 0.248 0.000 1
Ni2 Ni 0.000 0.251 0.333 1
Pt1 Pt 0.000 0.000 0.500 1
Rh1 Rh 0.000 0.000 0.167 1
Rh2 Rh 0.000 0.500 0.169 1
Rh3 Rh 0.000 0.500 0.500 1
```

=====

No. 3
Density functional theory data (PBE-GGA) for NiPt3Rh2 after structural relaxation.

Fermi-level density of states, states/eV/cell: 43.4
VASP energy, eV for the cell shown: -152.4
Calculated volume, Å³ per atom: 14.93
Energy of formation from the pure elements, eV/atom: 0.085

CIF file:
```
data_NiPt3Rh2
_chemical_formula_sum 'Ni4 Pt12 Rh8'
_symmetry_space_group_name_H-M 'C 1 2/m 1'
_symmetry_Int_Tables_number 12
_symmetry_space_group_name_Hall '-C 2y'
_cell_length_a 17.955
_cell_length_b 2.711
_cell_length_c 7.828
_cell_angle_alpha 90.00
_cell_angle_beta 109.90
_cell_angle_gamma 90.00
loop_
_atom_site_label
_atom_site_type_symbol
_atom_site_fract_x
_atom_site_fract_y
_atom_site_fract_z
_atom_site_occupancy
Ni1 Ni 0.181 0.000 0.041 1
Pt1 Pt 0.062 0.000 0.440 1
Pt2 Pt 0.072 0.500 0.789 1
Pt3 Pt 0.199 0.000 0.734 1
Rh1 Rh 0.070 0.500 0.135 1
Rh2 Rh 0.194 0.000 0.372 1
```

=====

No. 4
Density functional theory data (PBE-GGA) for Ni4PtRh after structural relaxation.

Fermi-level density of states, states/eV/cell: 29.2
VASP energy, eV for the cell shown: -145.2
Calculated volume, Å³ per atom: 12.33
Energy of formation from the pure elements, eV/atom: 0.037

CIF file:
```
data_Ni4PtRh
_chemical_formula_sum 'Ni16 Pt4 Rh4'
_symmetry_space_group_name_H-M 'F -4 3 m'
_symmetry_Int_Tables_number 216
_symmetry_space_group_name_Hall 'F -4 2 3'
_cell_length_a 6.664
_cell_length_b 6.664
_cell_length_c 6.664
_cell_angle_alpha 90.00
_cell_angle_beta 90.00
_cell_angle_gamma 90.00
loop_
_atom_site_label
_atom_site_type_symbol
_atom_site_fract_x
_atom_site_fract_y
_atom_site_fract_z
_atom_site_occupancy
Ni1 Ni 0.125 0.125 0.125 1
Pt1 Pt 0.000 0.000 0.500 1
Rh1 Rh 0.250 0.250 0.750 1
```